BaHf4Te8 | PBE | optimized geometry

The space group is F-43m (No. 216) and the conventional cell measures 12.318, 12.318 and 12.318 Å, with angles of 90.00, 90.00 and 90.00 degrees. Symmetry generates all atoms from Ba at (0.000, 0.000, 0.000), Hf at (0.114, 0.114, 0.614), Te at (0.122, 0.122, 0.378) and Te at (0.147, 0.147, 0.853).

The calculation puts the energy above the most stable polymorph in this dataset at 193 meV/atom. As for the crystal system: cubic. The formation energy from raw total energies comes out at -0.756 eV/atom. The value obtained for the total energy is -5.90 eV/atom.